(1)
! Hf4PdS, optimized geometry, DFT GGA-PBE; values from VASP
&SYSTEM
  ibrav = 0, nat = 6, ntyp = 3
/
ATOMIC_SPECIES
Hf 178.49 Hf.upf
Pd 106.42 Pd.upf
S 32.06 S.upf
CELL_PARAMETERS angstrom
6.762 -1.667 0.000
6.762 1.667 0.000
-2.535 0.000 5.394
ATOMIC_POSITIONS crystal
Hf 0.151 0.151 0.319
Hf 0.345 0.345 0.179
Hf 0.655 0.655 0.821
Hf 0.849 0.849 0.681
Pd 0.000 0.000 0.500
S 0.500 0.500 0.000
! **Energy relative to the elements, uncorrected**: -0.55 eV/atom

***

(2)
! Hf6PdS, optimized geometry, DFT GGA-PBE; values from VASP
&SYSTEM
  ibrav = 0, nat = 8, ntyp = 3
/
ATOMIC_SPECIES
Hf 178.49 Hf.upf
Pd 106.42 Pd.upf
S 32.06 S.upf
CELL_PARAMETERS angstrom
5.753 0.000 0.000
-0.141 6.053 0.000
-2.288 -2.473 5.049
ATOMIC_POSITIONS crystal
Hf 0.003 0.242 0.236
Hf 0.220 0.232 0.758
Hf 0.374 0.749 0.461
Hf 0.626 0.251 0.539
Hf 0.780 0.768 0.242
Hf 0.997 0.758 0.764
Pd 0.500 0.000 0.000
S 0.000 0.500 0.000
! **Energy relative to the elements, uncorrected**: -0.23 eV/atom